DFT (PBE-GGA) results for crystalline Tb2Ga9Ni6 at its relaxed geometry.

Summary:
Volume, Å³/cell: 284.80
Symmetry: P6/mmm (191)
VASP energy, eV per formula unit: -77.4
Formation energy from the elements, eV per atom: -0.365

Cell lengths 5.299, 5.299, 11.712 Å; angles 90.00, 90.00, 120.00 degrees
Atoms (fractional coordinates):
Tb 0.000 0.000 0.163
Tb 0.000 0.000 0.837
Ga 0.000 0.500 0.000
Ga 0.000 0.500 0.340
Ga 0.000 0.500 0.660
Ga 0.500 0.000 0.000
Ga 0.500 0.000 0.340
Ga 0.500 0.000 0.660
Ga 0.500 0.500 0.000
Ga 0.500 0.500 0.340
Ga 0.500 0.500 0.660
Ni 0.333 0.667 0.172
Ni 0.333 0.667 0.500
Ni 0.333 0.667 0.828
Ni 0.667 0.333 0.172
Ni 0.667 0.333 0.500
Ni 0.667 0.333 0.828

DFT (PBE-GGA) results for crystalline Tb2GaNi at its relaxed geometry.

Summary:
Volume, Å³/cell: 177.19
Symmetry: P2_1/m (11)
VASP energy, eV per formula unit: -20.1
Formation energy from the elements, eV per atom: -0.500

Cell lengths 5.933, 4.345, 7.358 Å; angles 90.00, 110.91, 90.00 degrees
Atoms (fractional coordinates):
Tb 0.171 0.250 0.411
Tb 0.275 0.750 0.070
Tb 0.725 0.250 0.930
Tb 0.829 0.750 0.589
Ga 0.378 0.750 0.705
Ga 0.622 0.250 0.295
Ni 0.172 0.250 0.788
Ni 0.828 0.750 0.212

Please write out number 2 again, unchanged.
DFT (PBE-GGA) results for crystalline Tb2GaNi at its relaxed geometry.

Summary:
Volume, Å³/cell: 177.19
Symmetry: P2_1/m (11)
VASP energy, eV per formula unit: -20.1
Formation energy from the elements, eV per atom: -0.500

Cell lengths 5.933, 4.345, 7.358 Å; angles 90.00, 110.91, 90.00 degrees
Atoms (fractional coordinates):
Tb 0.171 0.250 0.411
Tb 0.275 0.750 0.070
Tb 0.725 0.250 0.930
Tb 0.829 0.750 0.589
Ga 0.378 0.750 0.705
Ga 0.622 0.250 0.295
Ni 0.172 0.250 0.788
Ni 0.828 0.750 0.212